P | Computed, not measured: a crystal of Ba2ZnCl relaxed with PBEsol at the meta-GGA SCAN level of DFT.

Structure (POSCAR):
```
Ba2ZnCl
1.0
-0.012 3.932 -1.852
-2.670 0.827 -3.329
-6.946 4.154 3.764
Zn Ba Cl
1 2 1
Cartesian
-2.429 2.238 -0.334
-6.914 4.141 3.735
-5.741 6.057 -2.405
-6.303 5.089 0.642
```

Values from the calculation:
The crystal system is trigonal.

***

Q | Computed, not measured: a crystal of Ba2ZnCl relaxed with PBEsol at the meta-GGA SCAN level of DFT.

Structure (POSCAR):
```
Ba2ZnCl
1.0
-0.651 3.024 2.042
-4.084 -2.819 2.873
3.906 -1.750 3.836
Zn Ba Cl
1 2 1
Cartesian
1.628 0.637 2.939
0.000 0.000 0.000
-0.089 -2.285 3.355
-2.368 0.102 2.458
```

Values from the calculation:
The crystal system is orthorhombic.

***

It comes down to P, which is 60 meV/atom more stable than the next structure.